SmThAu4 after structural relaxation. Source: the Alexandria database, functional PBE.

Cell lengths 4.786, 6.983, 8.263 Å; angles 90.00, 90.00, 90.00 degrees
Space group Immm (No. 71)
Unique sites:
Sm  0.000  0.000  0.000 [2 per cell]
Th  0.000  0.500  0.000 [2 per cell]
Au  0.000  0.246  0.333 [8 per cell]

Properties
- DOS(E_F) (states/eV per atom) = 0.7739
- DFT formation energy (eV/atom) = -0.727
- spin magnetization (μB per atom) = 0.000
- excess energy over the best structure of this formula in the dataset (meV per atom) = 7
- VASP energy (eV per formula unit) = -29.61
- V (Å³ per atom) = 23.01

***

SmTh3Au7 after structural relaxation. Source: the Alexandria database, functional PBE.

Cell lengths 3.995, 22.324, 12.241 Å; angles 90.00, 90.00, 90.00 degrees
Space group Cmcm (No. 63)
Unique sites:
Sm  0.000  0.095  0.250 [4 per cell]
Th  0.000  0.085  0.562 [8 per cell]
Th  0.000  0.278  0.250 [4 per cell]
Au  0.000  0.217  0.566 [8 per cell]
Au  0.000  0.342  0.600 [8 per cell]
Au  0.000  0.417  0.250 [4 per cell]
Au  0.000  0.475  0.609 [8 per cell]

Properties
- DOS(E_F) (states/eV per atom) = 0.6942
- DFT formation energy (eV/atom) = -0.612
- spin magnetization (μB per atom) = 0.000
- VASP energy (eV per formula unit) = -56.66
- V (Å³ per atom) = 24.81

***

SmTh2Au4 after structural relaxation. Source: the Alexandria database, functional PBE.

Cell lengths 5.345, 5.345, 13.062 Å; angles 90.00, 90.00, 90.00 degrees
Space group I4/mmm (No. 139)
Unique sites:
Sm  0.000  0.000  0.000 [2 per cell]
Th  0.000  0.000  0.287 [4 per cell]
Au  0.000  0.500  0.114 [8 per cell]

Properties
- DOS(E_F) (states/eV per atom) = 0.8287
- DFT formation energy (eV/atom) = -0.544
- spin magnetization (μB per atom) = 0.000
- VASP energy (eV per formula unit) = -36.48
- V (Å³ per atom) = 26.66

***

Sm5ThAu4 after structural relaxation. Source: the Alexandria database, functional PBE.

Cell lengths 3.664, 3.664, 19.567 Å; angles 90.00, 90.00, 90.00 degrees
Space group P4/mmm (No. 123)
Unique sites:
Sm  0.000  0.000  0.000 [1 per cell]
Sm  0.000  0.000  0.189 [2 per cell]
Sm  0.000  0.000  0.376 [2 per cell]
Th  0.500  0.500  0.500 [1 per cell]
Au  0.500  0.500  0.095 [2 per cell]
Au  0.500  0.500  0.282 [2 per cell]

Properties
- DOS(E_F) (states/eV per atom) = 0.6957
- DFT formation energy (eV/atom) = -0.633
- spin magnetization (μB per atom) = 0.000
- VASP energy (eV per formula unit) = -50.45
- V (Å³ per atom) = 26.26

***

SmTh2Au after structural relaxation. Source: the Alexandria database, functional PBE.

Cell lengths 3.6911, 3.6911, 31.0396 Å; angles 90.00, 90.00, 120.00 degrees
Space group R-3m (No. 166, hexagonal axes)
Unique sites:
Sm  0.0000  0.0000  0.0000 [3 per cell]
Th  0.0000  0.0000  0.2399 [6 per cell]
Au  0.0000  0.0000  0.5000 [3 per cell]

Properties
- DOS(E_F) (states/eV per atom) = 1.0964
- DFT formation energy (eV/atom) = -0.150
- spin magnetization (μB per atom) = 0.000
- excess energy over the best structure of this formula in the dataset (meV per atom) = 79
- VASP energy (eV per formula unit) = -23.44
- V (Å³ per atom) = 30.52

***

Sm2ThAu after structural relaxation. Source: the Alexandria database, functional PBE.

Cell lengths 3.6756, 3.6756, 30.6403 Å; angles 90.00, 90.00, 120.00 degrees
Space group R-3m (No. 166, hexagonal axes)
Unique sites:
Sm  0.0000  0.0000  0.2393 [6 per cell]
Th  0.0000  0.0000  0.0000 [3 per cell]
Au  0.0000  0.0000  0.5000 [3 per cell]

Properties
- DOS(E_F) (states/eV per atom) = 1.4270
- DFT formation energy (eV/atom) = -0.241
- spin magnetization (μB per atom) = 0.000
- excess energy over the best structure of this formula in the dataset (meV per atom) = 141
- VASP energy (eV per formula unit) = -21.10
- V (Å³ per atom) = 29.87

***

SmThAu after structural relaxation. Source: the Alexandria database, functional PBE.

Cell lengths 5.3299, 5.3299, 6.4961 Å; angles 90.00, 90.00, 120.00 degrees
Space group P-3m1 (No. 164)
Unique sites:
Sm  0.0000  0.0000  0.2310 [2 per cell]
Th  0.3333  0.6667  0.3950 [2 per cell]
Au  0.3333  0.6667  0.8958 [2 per cell]

Properties
- DOS(E_F) (states/eV per atom) = 1.3513
- DFT formation energy (eV/atom) = -0.143
- spin magnetization (μB per atom) = 0.000
- excess energy over the best structure of this formula in the dataset (meV per atom) = 270
- VASP energy (eV per formula unit) = -15.85
- V (Å³ per atom) = 26.64

***

SmThAu after structural relaxation. Source: the Alexandria database, functional PBE.

Cell lengths 3.687, 3.687, 12.461 Å; angles 90.00, 90.00, 90.00 degrees
Space group I4mm (No. 107)
Unique sites:
Sm  0.000  0.000  0.000 [2 per cell]
Th  0.000  0.000  0.300 [2 per cell]
Au  0.000  0.000  0.650 [2 per cell]

Properties
- DOS(E_F) (states/eV per atom) = 1.3088
- DFT formation energy (eV/atom) = -0.413
- spin magnetization (μB per atom) = 0.000
- excess energy over the best structure of this formula in the dataset (meV per atom) = 0
- VASP energy (eV per formula unit) = -16.66
- V (Å³ per atom) = 28.23

***

SmThAu4 after structural relaxation. Source: the Alexandria database, functional PBE.

Cell lengths 3.857, 3.857, 9.282 Å; angles 90.00, 90.00, 90.00 degrees
Space group P4/mmm (No. 123)
Unique sites:
Sm  0.000  0.000  0.000 [1 per cell]
Th  0.500  0.500  0.500 [1 per cell]
Au  0.000  0.000  0.331 [2 per cell]
Au  0.500  0.500  0.163 [2 per cell]

Properties
- DOS(E_F) (states/eV per atom) = 0.4397
- DFT formation energy (eV/atom) = -0.734
- spin magnetization (μB per atom) = 0.000
- excess energy over the best structure of this formula in the dataset (meV per atom) = 0
- VASP energy (eV per formula unit) = -29.65
- V (Å³ per atom) = 23.02

***

SmThAu after structural relaxation. Source: the Alexandria database, functional PBE.

Cell lengths 5.0358, 5.0358, 3.7000 Å; angles 90.00, 90.00, 120.00 degrees
Space group P3m1 (No. 156)
Unique sites:
Sm  0.0000  0.0000  0.0000 [1 per cell]
Th  0.3333  0.6667  0.3938 [1 per cell]
Au  0.6667  0.3333  0.6589 [1 per cell]

Properties
- DOS(E_F) (states/eV per atom) = 1.0625
- DFT formation energy (eV/atom) = -0.208
- spin magnetization (μB per atom) = 0.000
- excess energy over the best structure of this formula in the dataset (meV per atom) = 205
- VASP energy (eV per formula unit) = -16.04
- V (Å³ per atom) = 27.09

***

Sm2ThAu after structural relaxation. Source: the Alexandria database, functional PBE.

Cell lengths 3.7002, 3.7002, 30.7489 Å; angles 90.00, 90.00, 120.00 degrees
Space group R3m (No. 160, hexagonal axes)
Unique sites:
Sm  0.0000  0.0000  0.0000 [3 per cell]
Sm  0.0000  0.0000  0.1914 [3 per cell]
Th  0.0000  0.0000  0.4293 [3 per cell]
Au  0.0000  0.0000  0.5956 [3 per cell]

Properties
- DOS(E_F) (states/eV per atom) = 1.5841
- DFT formation energy (eV/atom) = -0.208
- spin magnetization (μB per atom) = 0.000
- excess energy over the best structure of this formula in the dataset (meV per atom) = 174
- VASP energy (eV per formula unit) = -20.97
- V (Å³ per atom) = 30.38

***

Sm2ThAu after structural relaxation. Source: the Alexandria database, functional PBE.

Cell lengths 5.562, 5.562, 3.624 Å; angles 90.00, 90.00, 90.00 degrees
Space group P4/mmm (No. 123)
Unique sites:
Sm  0.000  0.500  0.000 [2 per cell]
Th  0.000  0.000  0.500 [1 per cell]
Au  0.500  0.500  0.500 [1 per cell]

Properties
- DOS(E_F) (states/eV per atom) = 1.5221
- DFT formation energy (eV/atom) = -0.177
- spin magnetization (μB per atom) = 0.000
- excess energy over the best structure of this formula in the dataset (meV per atom) = 205
- VASP energy (eV per formula unit) = -20.84
- V (Å³ per atom) = 28.03

***

Sm2ThAu6 after structural relaxation. Source: the Alexandria database, functional PBE.

Cell lengths 3.640, 7.845, 14.765 Å; angles 90.00, 90.00, 90.00 degrees
Space group Immm (No. 71)
Unique sites:
Sm  0.000  0.000  0.142 [4 per cell]
Th  0.000  0.500  0.000 [2 per cell]
Au  0.000  0.182  0.324 [8 per cell]
Au  0.000  0.318  0.500 [4 per cell]

Properties
- DOS(E_F) (states/eV per atom) = 0.6451
- DFT formation energy (eV/atom) = -0.686
- spin magnetization (μB per atom) = 0.000
- VASP energy (eV per formula unit) = -42.69
- V (Å³ per atom) = 23.42